one) First-principles (GGA-PBE) data for an optimized crystal structure of V2HPd, as listed in the Alexandria database.

Cell: 5.1616 5.1616 5.1616 Å, 60.00 60.00 60.00°
Last column: nearest neighbours and their distance in Å.
Element x y z (fractional)
V (0.0000, 0.0000, 0.0000)  2 H 1.58
V (0.0000, 0.0000, 0.5000)  2 H 1.58
V (0.0000, 0.5000, 0.0000)  2 H 1.58
V (0.5000, 0.0000, 0.0000)  2 H 1.58
H (0.1250, 0.1250, 0.1250)  4 V 1.58
H (0.8750, 0.8750, 0.8750)  4 V 1.58
Pd (0.3750, 0.3750, 0.3750)  12 V 3.03, 4 Pd 3.16, 4 H 3.16
Pd (0.6250, 0.6250, 0.6250)  12 V 3.03, 4 Pd 3.16, 4 H 3.16

The size of the total moment is 0.0000 μB per atom. The density is 7.1 g/cm³. Its density of states at the Fermi level is 6.53 states/eV per cell.


two) First-principles (GGA-PBE) data for an optimized crystal structure of V2HPd, as listed in the Alexandria database.

Cell: 4.1474 4.1474 4.1474 Å, 60.00 60.00 60.00°
Last column: nearest neighbours and their distance in Å.
Element x y z (fractional)
V (0.2500, 0.2500, 0.2500)  4 H 2.54, 4 Pd 2.54
V (0.7500, 0.7500, 0.7500)  4 H 2.54, 4 Pd 2.54
H (0.0000, 0.0000, 0.0000)  8 V 2.54
Pd (0.5000, 0.5000, 0.5000)  8 V 2.54

The size of the total moment is 0.0002 μB per atom. The density is 6.9 g/cm³. Its density of states at the Fermi level is 5.28 states/eV per cell.


The most stable of them is one).


one) First-principles (GGA-PBE) data for an optimized crystal structure of V2HPd, as listed in the Alexandria database.

Cell: 2.6621 2.6621 6.3470 Å, 90.00 90.00 90.00°
Last column: nearest neighbours and their distance in Å.
Element x y z (fractional)
V (0.0000, 0.0000, 0.1859)  4 H 2.22, 1 V 2.36
V (0.0000, 0.0000, 0.8141)  4 H 2.22, 1 V 2.36
H (0.5000, 0.5000, 0.0000)  8 V 2.22
Pd (0.5000, 0.5000, 0.5000)  4 Pd 2.66, 8 V 2.74

The size of the total moment is 0.0000 μB per atom. The density is 7.7 g/cm³. Its density of states at the Fermi level is 4.20 states/eV per cell.


two) First-principles (GGA-PBE) data for an optimized crystal structure of V2HPd, as listed in the Alexandria database.

Cell: 6.3282 6.3282 6.3282 Å, 26.86 26.86 26.86°
Last column: nearest neighbours and their distance in Å.
Element x y z (fractional)
V (0.0000, 0.0000, 0.0000)  3 H 1.93
V (0.2343, 0.2343, 0.2343)  3 H 1.92
H (0.6163, 0.6163, 0.6163)  6 V 1.92-1.93
Pd (0.7825, 0.7825, 0.7825)  6 V 2.71-2.75, 6 Pd 2.94

The size of the total moment is 0.0000 μB per atom. The density is 7.6 g/cm³. Its density of states at the Fermi level is 4.40 states/eV per cell.


The most stable of them is two).


one) First-principles (GGA-PBE) data for an optimized crystal structure of VH2Pd2, as listed in the Alexandria database.

Cell: 6.5995 6.5995 6.5995 Å, 155.27 155.27 35.25°
Last column: nearest neighbours and their distance in Å.
Element x y z (fractional)
V (0.0000, 0.0000, 0.0000)  8 Pd 2.74, 4 V 2.83
H (0.2500, 0.7500, 0.5000)  4 Pd 1.90, 4 H 2.00
H (0.7500, 0.2500, 0.5000)  4 Pd 1.90, 4 H 2.00
Pd (0.3510, 0.3510, 0.0000)  4 H 1.90
Pd (0.6490, 0.6490, 0.0000)  4 H 1.90

The size of the total moment is 0.0000 μB per atom. The density is 8.8 g/cm³. Its density of states at the Fermi level is 1.44 states/eV per cell.


two) First-principles (GGA-PBE) data for an optimized crystal structure of VH2Pd2, as listed in the Alexandria database.

Cell: 5.4257 5.4257 3.7141 Å, 90.00 90.00 90.00°
Last column: nearest neighbours and their distance in Å.
Element x y z (fractional)
V (0.0000, 0.0000, 0.0000)  4 H 2.00
V (0.5000, 0.5000, 0.0000)  4 H 2.00
H (0.1755, 0.3245, 0.0000)  2 Pd 1.86, 2 V 2.00
H (0.3245, 0.8245, 0.0000)  2 Pd 1.86, 2 V 2.00
H (0.6755, 0.1755, 0.0000)  2 Pd 1.86, 2 V 2.00
H (0.8245, 0.6755, 0.0000)  2 Pd 1.86, 2 V 2.00
Pd (0.1789, 0.3211, 0.5000)  2 H 1.86
Pd (0.3211, 0.8211, 0.5000)  2 H 1.86
Pd (0.6789, 0.1789, 0.5000)  2 H 1.86
Pd (0.8211, 0.6789, 0.5000)  2 H 1.86

The size of the total moment is 0.4473 μB per atom. The density is 8.1 g/cm³. Its density of states at the Fermi level is 8.07 states/eV per cell.


The most stable of them is one).


one) First-principles (GGA-PBE) data for an optimized crystal structure of V2HPdW, as listed in the Alexandria database.

Cell: 4.1354 4.1354 3.5350 Å, 90.00 90.00 90.00°
Last column: nearest neighbours and their distance in Å.
Element x y z (fractional)
V (0.0000, 0.5000, 0.0000)  2 H 2.07
V (0.5000, 0.0000, 0.0000)  2 H 2.07
H (0.0000, 0.0000, 0.0000)  2 Pd 1.77
Pd (0.0000, 0.0000, 0.5000)  2 H 1.77
W (0.5000, 0.5000, 0.5000)  8 V 2.72, 4 Pd 2.92

The size of the total moment is 0.0000 μB per atom. The density is 10.8 g/cm³. Its density of states at the Fermi level is 4.71 states/eV per cell.


two) First-principles (GGA-PBE) data for an optimized crystal structure of V2HPdW, as listed in the Alexandria database.

Cell: 3.9620 3.9620 3.8456 Å, 90.00 90.00 90.00°
Last column: nearest neighbours and their distance in Å.
Element x y z (fractional)
V (0.0000, 0.5000, 0.0000)  2 H 1.98
V (0.5000, 0.0000, 0.0000)  2 H 1.98
H (0.0000, 0.0000, 0.0000)  2 W 1.92, 4 V 1.98
Pd (0.5000, 0.5000, 0.5000)  8 V 2.76, 4 W 2.80
W (0.0000, 0.0000, 0.5000)  2 H 1.92

The size of the total moment is 0.0001 μB per atom. The density is 10.8 g/cm³. Its density of states at the Fermi level is 6.61 states/eV per cell.


The most stable of them is two).


one) First-principles (GGA-PBE) data for an optimized crystal structure of HPd3W, as listed in the Alexandria database.

Cell: 4.0256 4.0256 4.0256 Å, 90.00 90.00 90.00°
Last column: nearest neighbours and their distance in Å.
Element x y z (fractional)
H (0.0000, 0.0000, 0.0000)  6 Pd 2.01
Pd (0.0000, 0.0000, 0.5000)  2 H 2.01
Pd (0.0000, 0.5000, 0.0000)  2 H 2.01
Pd (0.5000, 0.0000, 0.0000)  2 H 2.01
W (0.5000, 0.5000, 0.5000)  12 Pd 2.85

The size of the total moment is 0.6060 μB per atom. The density is 12.8 g/cm³. Its density of states at the Fermi level is 4.32 states/eV per cell.


two) First-principles (GGA-PBE) data for an optimized crystal structure of HPd3W, as listed in the Alexandria database.

Cell: 4.8523 4.8523 4.8523 Å, 90.00 90.00 90.00°
Last column: nearest neighbours and their distance in Å.
Element x y z (fractional)
H (0.0000, 0.0000, 0.0000)  12 Pd 3.43
Pd (0.0000, 0.5000, 0.5000)  2 W 2.43
Pd (0.5000, 0.0000, 0.5000)  2 W 2.43
Pd (0.5000, 0.5000, 0.0000)  2 W 2.43
W (0.5000, 0.5000, 0.5000)  6 Pd 2.43

The size of the total moment is 0.1695 μB per atom. The density is 7.3 g/cm³. Its density of states at the Fermi level is 5.11 states/eV per cell.


The most stable of them is one).


one) First-principles (GGA-PBE) data for an optimized crystal structure of YHPd3, as listed in the Alexandria database.

Cell: 3.2851 3.2851 17.0598 Å, 90.00 90.00 120.00°
Last column: nearest neighbours and their distance in Å.
Element x y z (fractional)
Y (0.0000, 0.0000, 0.0000)  6 Pd 2.83
Y (0.0000, 0.0000, 0.5000)  6 Pd 2.83
H (0.3333, 0.6667, 0.2500)  3 Pd 1.90
H (0.6667, 0.3333, 0.7500)  3 Pd 1.90
Pd (0.0000, 0.0000, 0.2500)  3 H 1.90
Pd (0.0000, 0.0000, 0.7500)  3 H 1.90
Pd (0.3333, 0.6667, 0.1233)  1 H 2.16
Pd (0.3333, 0.6667, 0.3767)  1 H 2.16
Pd (0.6667, 0.3333, 0.6233)  1 H 2.16
Pd (0.6667, 0.3333, 0.8767)  1 H 2.16

The size of the total moment is 0.0000 μB per atom. The density is 8.5 g/cm³. Its density of states at the Fermi level is 6.67 states/eV per cell.


two) First-principles (GGA-PBE) data for an optimized crystal structure of YHPd3, as listed in the Alexandria database.

Cell: 4.2016 4.2016 4.2016 Å, 89.72 89.72 89.72°
Last column: nearest neighbours and their distance in Å.
Element x y z (fractional)
Y (0.0000, 0.0000, 0.0000)  1 H 2.52
H (0.6550, 0.6550, 0.6550)  3 Pd 1.78
Pd (0.0164, 0.4962, 0.4962)  1 H 1.78
Pd (0.4962, 0.0164, 0.4962)  1 H 1.78
Pd (0.4962, 0.4962, 0.0164)  1 H 1.78

The size of the total moment is 0.0003 μB per atom. The density is 9.2 g/cm³. Its density of states at the Fermi level is 0.63 states/eV per cell.


The most stable of them is two).


one) First-principles (GGA-PBE) data for an optimized crystal structure of YHPd3, as listed in the Alexandria database.

Cell: 4.1176 5.2106 7.8192 Å, 75.96 74.76 66.76°
Last column: nearest neighbours and their distance in Å.
Element x y z (fractional)
Y (0.0000, 0.0000, 0.0000)  12 Pd 2.92-2.99
Y (0.0000, 0.5000, 0.5000)  2 H 2.55
H (0.2940, 0.0772, 0.3313)  2 Pd 1.83-1.95
H (0.7060, 0.9228, 0.6687)  2 Pd 1.83-1.95
Pd (0.2494, 0.8759, 0.6254)  3 H 2.10-2.28
Pd (0.2503, 0.3757, 0.1240)  1 H 1.95
Pd (0.4929, 0.2612, 0.7526)  1 H 1.83
Pd (0.5071, 0.7388, 0.2474)  1 H 1.83
Pd (0.7497, 0.6243, 0.8760)  1 H 1.95
Pd (0.7506, 0.1241, 0.3746)  3 H 2.10-2.28

The size of the total moment is 0.0000 μB per atom. The density is 9.3 g/cm³. Its density of states at the Fermi level is 2.31 states/eV per cell.


two) First-principles (GGA-PBE) data for an optimized crystal structure of YHPd3, as listed in the Alexandria database.

Cell: 5.1913 5.8460 5.1973 Å, 90.00 111.51 90.00°
Last column: nearest neighbours and their distance in Å.
Element x y z (fractional)
Y (0.2459, 0.0000, 0.2546)  1 H 2.56
Y (0.7541, 0.5000, 0.7454)  1 H 2.56
H (0.4435, 0.5144, 0.0295)  2 Pd 1.84-1.99
H (0.5565, 0.0144, 0.9705)  2 Pd 1.84-1.99
Pd (0.2439, 0.4999, 0.2566)  1 H 1.84
Pd (0.2471, 0.7495, 0.7491)  2 H 1.99-2.22
Pd (0.2499, 0.2492, 0.7493)  2 H 2.10-2.11
Pd (0.7501, 0.7492, 0.2507)  2 H 2.10-2.11
Pd (0.7529, 0.2495, 0.2509)  2 H 1.99-2.22
Pd (0.7561, 0.9999, 0.7434)  1 H 1.84

The size of the total moment is 0.0000 μB per atom. The density is 9.3 g/cm³. Its density of states at the Fermi level is 1.82 states/eV per cell.


three) First-principles (GGA-PBE) data for an optimized crystal structure of YHPd3, as listed in the Alexandria database.

Cell: 3.9304 3.9304 6.4778 Å, 90.00 90.00 90.00°
Last column: nearest neighbours and their distance in Å.
Element x y z (fractional)
Y (0.0000, 0.0000, 0.0000)  1 Pd 2.50
H (0.5000, 0.5000, 0.3060)  4 Pd 1.97
Pd (0.0000, 0.0000, 0.6135)  1 Y 2.50, 4 Pd 2.78
Pd (0.0000, 0.5000, 0.3096)  2 H 1.97
Pd (0.5000, 0.0000, 0.3096)  2 H 1.97

The size of the total moment is 0.0000 μB per atom. The density is 6.8 g/cm³. Its density of states at the Fermi level is 0.85 states/eV per cell.


four) First-principles (GGA-PBE) data for an optimized crystal structure of YHPd3, as listed in the Alexandria database.

Cell: 7.6542 7.6542 5.9442 Å, 96.14 96.14 29.68°
Last column: nearest neighbours and their distance in Å.
Element x y z (fractional)
Y (0.1175, 0.1175, 0.2145)  7 Pd 2.76-3.09
Y (0.8825, 0.8825, 0.7855)  7 Pd 2.76-3.09
H (0.4379, 0.4379, 0.2678)  3 Pd 1.87-1.96
H (0.5621, 0.5621, 0.7322)  3 Pd 1.87-1.96
Pd (0.0631, 0.0631, 0.7105)  2 H 1.96
Pd (0.2496, 0.2496, 0.6546)  6 Pd 2.69-2.82, 2 Y 2.82
Pd (0.3234, 0.3234, 0.0989)  1 H 1.87
Pd (0.6766, 0.6766, 0.9011)  1 H 1.87
Pd (0.7504, 0.7504, 0.3454)  6 Pd 2.69-2.82, 2 Y 2.82
Pd (0.9369, 0.9369, 0.2895)  2 H 1.96

The size of the total moment is 0.0000 μB per atom. The density is 7.9 g/cm³. Its density of states at the Fermi level is 3.07 states/eV per cell.


The most stable of them is two).


one) First-principles (GGA-PBE) data for an optimized crystal structure of YH3Pd3, as listed in the Alexandria database.

Cell: 5.4663 5.4663 5.4663 Å, 90.00 90.00 90.00°
Last column: nearest neighbours and their distance in Å.
Element x y z (fractional)
Y (0.0000, 0.0000, 0.0000)  12 H 3.06, 12 Pd 3.06
Y (0.5000, 0.5000, 0.5000)  12 H 3.06, 12 Pd 3.06
H (0.0000, 0.2500, 0.5000)  4 Pd 1.93
H (0.0000, 0.7500, 0.5000)  4 Pd 1.93
H (0.2500, 0.5000, 0.0000)  4 Pd 1.93
H (0.5000, 0.0000, 0.2500)  4 Pd 1.93
H (0.5000, 0.0000, 0.7500)  4 Pd 1.93
H (0.7500, 0.5000, 0.0000)  4 Pd 1.93
Pd (0.0000, 0.5000, 0.2500)  4 H 1.93
Pd (0.0000, 0.5000, 0.7500)  4 H 1.93
Pd (0.2500, 0.0000, 0.5000)  4 H 1.93
Pd (0.5000, 0.2500, 0.0000)  4 H 1.93
Pd (0.5000, 0.7500, 0.0000)  4 H 1.93
Pd (0.7500, 0.0000, 0.5000)  4 H 1.93

The size of the total moment is 0.0000 μB per atom. The density is 8.4 g/cm³. Its density of states at the Fermi level is 0.46 states/eV per cell.


two) First-principles (GGA-PBE) data for an optimized crystal structure of YH3Pd3, as listed in the Alexandria database.

Cell: 7.3259 7.3259 7.3259 Å, 44.41 44.41 44.41°
Last column: nearest neighbours and their distance in Å.
Element x y z (fractional)
Y (0.1843, 0.1843, 0.1843)  3 H 2.29
Y (0.8157, 0.8157, 0.8157)  3 H 2.29
H (0.0116, 0.2734, 0.5372)  3 Pd 1.83-1.98
H (0.2734, 0.5372, 0.0116)  3 Pd 1.83-1.98
H (0.4628, 0.9884, 0.7266)  3 Pd 1.83-1.98
H (0.5372, 0.0116, 0.2734)  3 Pd 1.83-1.98
H (0.7266, 0.4628, 0.9884)  3 Pd 1.83-1.98
H (0.9884, 0.7266, 0.4628)  3 Pd 1.83-1.98
Pd (0.1370, 0.3219, 0.7278)  3 H 1.83-1.98
Pd (0.2722, 0.8630, 0.6781)  3 H 1.83-1.98
Pd (0.3219, 0.7278, 0.1370)  3 H 1.83-1.98
Pd (0.6781, 0.2722, 0.8630)  3 H 1.83-1.98
Pd (0.7278, 0.1370, 0.3219)  3 H 1.83-1.98
Pd (0.8630, 0.6781, 0.2722)  3 H 1.83-1.98

The size of the total moment is 0.0000 μB per atom. The density is 7.8 g/cm³. Its density of states at the Fermi level is 2.89 states/eV per cell.


The most stable of them is one).